10
Lattice="4.236 0.000 0.000 0.001 6.082 0.000 0.023 3.021 6.370" Properties=species:S:1:pos:R:3 comment="RbMnF3 (PBE with a Hubbard U, relaxed)" sg=P-1 magmom_total_mub_per_atom=1.00 e_tot_ev_per_atom=-5.54 rho_g_cm3=3.99 pbc="T T T"
Rb 0.014 3.030 1.738
Rb 4.246 6.072 4.632
Mn 2.132 3.030 4.751
Mn 2.127 6.073 1.619
F 4.251 3.032 4.597
F 0.009 6.070 1.773
F 2.129 1.510 3.185
F 2.118 1.437 0.006
F 2.130 4.551 3.185
F 2.141 7.666 6.364